[1]
The following is a meta-GGA SCAN calculation of a crystal of YSiH relaxed with PBEsol, from Alexandria.

Cell and atoms, written as extended XYZ:
```
6
Lattice="3.8512 0.0000 0.0000 0.0000 3.9669 0.0000 0.0000 1.9834 5.6059" Properties=species:S:1:pos:R:3 pbc="T T T"
Y 0.9628 3.9669 1.6542
Y 2.8884 1.9834 3.9517
H 0.9628 1.9834 2.7490
H 2.8884 3.9669 2.8570
Si 0.9628 3.9669 4.9215
Si 2.8884 1.9834 0.6845
```

Calculated values
- Fermi-level density of states: 0.86 states/eV/cell
- E_tot: -14.55 eV/atom

[2]
The following is a meta-GGA SCAN calculation of a crystal of AsPtPb relaxed with PBEsol, from Alexandria.

Cell and atoms, written as extended XYZ:
```
3
Lattice="4.6003 0.0000 0.0000 2.3001 3.9840 0.0000 2.3001 1.3280 3.7561" Properties=species:S:1:pos:R:3 pbc="T T T"
Pb 6.9004 3.9840 2.8171
As 4.6003 2.6560 1.8781
Pt 0.0000 0.0000 0.0000
```

Calculated values
- Fermi-level density of states: 1.69 states/eV/cell
- Calculated formation energy: 0.52 eV per atom

[3]
The following is a meta-GGA SCAN calculation of a crystal of RbBr3 relaxed with PBEsol, from Alexandria.

Cell and atoms, written as extended XYZ:
```
4
Lattice="-4.5478 0.6911 3.1889 -2.5513 -4.4508 2.2382 1.9681 -0.6906 7.8686" Properties=species:S:1:pos:R:3 pbc="T T T"
Rb -2.5654 -2.2252 6.6479
Br 0.0000 0.0000 0.0000
Br -5.6232 -3.5682 7.4903
Br 0.4923 -0.8822 5.8055
```

Calculated values
- Raw formation energy: -0.965 eV/atom
- Fermi-level density of states: 0.00 states/eV/cell